4
Lattice="4.747 0.000 0.000 0.000 4.747 0.000 0.000 0.000 4.747" Properties=species:S:1:pos:R:3 comment="ReOs3 | the Alexandria database | PBE | optimized geometry" dos_at_fermi_per_ev_cell=5.6 formation_energy_ev_per_atom=3.0928 relative_energy_mev_per_atom=3176 pbc="T T T"
Re 0.000 0.000 0.000
Os 0.000 0.000 2.374
Os 0.000 2.374 0.000
Os 2.374 0.000 0.000